Material: V2CoCu
Method: DFT, PBE-GGA
State: relaxed

Output
Energy of formation: -0.01 eV per atom
N(E_F): 1.02 states/eV per atom
Spin magnetization: 0.00 Bohr magnetons per cell

```
data_V2CoCu
_cell_length_a 2.543
_cell_length_b 2.543
_cell_length_c 7.559
_cell_angle_alpha 90.00
_cell_angle_beta 90.00
_cell_angle_gamma 90.00
_symmetry_space_group_name_H-M 'P 4/m m m'
_symmetry_Int_Tables_number 123
_symmetry_space_group_name_Hall '-P 4 2'
loop_
_atom_site_label
_atom_site_fract_x
_atom_site_fract_y
_atom_site_fract_z
V1 0.000 0.000 0.233
Co1 0.500 0.500 0.000
Cu1 0.500 0.500 0.500
```